# 1
! YCrTc | the Alexandria database | PBE | relaxed; values from VASP
! Energy relative to the lowest polymorph listed for this composition = 1.47 eV per formula unit
! Symmetry = P3m1, No. 156
! Formation enthalpy at 0 K = 0.534 eV/atom
! Crystal system = trigonal
&SYSTEM
  ibrav = 0, nat = 3, ntyp = 3
/
ATOMIC_SPECIES
Y 88.91 Y.upf
Cr 52.00 Cr.upf
Tc 98.00 Tc.upf
ATOMIC_POSITIONS crystal
Y 0.667 0.333 0.670
Cr 0.000 0.000 0.045
Tc 0.333 0.667 0.286
CELL_PARAMETERS angstrom
-0.556 -1.589 -2.615
-1.331 -0.883 2.669
-5.129 3.887 -1.271



# 2
! Ce2Ho7Er | the Alexandria database | PBE | relaxed; values from VASP
! Symmetry = Immm, No. 71
! Formation enthalpy at 0 K = 0.106 eV/atom
! Crystal system = orthorhombic
&SYSTEM
  ibrav = 0, nat = 10, ntyp = 3
/
ATOMIC_SPECIES
Ho 164.93 Ho.upf
Ce 140.12 Ce.upf
Er 167.26 Er.upf
ATOMIC_POSITIONS crystal
Ho 0.251 0.644 0.786
Ho 0.251 0.858 0.214
Ho 0.749 0.356 0.214
Ho 0.000 0.799 0.597
Ho 0.749 0.142 0.786
Ho 0.000 0.201 0.403
Ho 0.500 0.500 0.000
Ce 0.500 0.699 0.397
Ce 0.500 0.301 0.603
Er 0.000 0.000 0.000
CELL_PARAMETERS angstrom
5.082 -1.553 0.826
-2.797 7.464 -3.743
1.319 -0.042 9.292



# 3
! Tb3Dy2Ho7 | the Alexandria database | PBE | relaxed; values from VASP
! Energy relative to the lowest polymorph listed for this composition = 2.71 eV per formula unit
! Symmetry = P2/m, No. 10
! Formation enthalpy at 0 K = 0.315 eV/atom
! Crystal system = monoclinic
&SYSTEM
  ibrav = 0, nat = 12, ntyp = 3
/
ATOMIC_SPECIES
Ho 164.93 Ho.upf
Dy 162.50 Dy.upf
Tb 158.93 Tb.upf
ATOMIC_POSITIONS crystal
Ho 0.000 0.000 0.000
Ho 0.000 0.557 0.822
Ho 0.500 0.911 0.836
Ho 0.000 0.443 0.178
Ho 0.500 0.767 0.552
Ho 0.500 0.233 0.448
Ho 0.500 0.089 0.164
Dy 0.500 0.621 0.283
Dy 0.500 0.379 0.717
Tb 0.500 0.500 0.000
Tb 0.000 0.956 0.332
Tb 0.000 0.044 0.668
CELL_PARAMETERS angstrom
5.518 0.000 0.000
0.000 6.102 -0.183
0.000 -0.323 11.962



# 4
! LiGaNi2N | the Alexandria database | PBE | relaxed; values from VASP
! Symmetry = P4/mmm, No. 123
! Crystal system = tetragonal
! Energy relative to the elements, uncorrected = -1.0 eV per formula unit
&SYSTEM
  ibrav = 0, nat = 5, ntyp = 4
/
ATOMIC_SPECIES
N 14.01 N.upf
Ni 58.69 Ni.upf
Ga 69.72 Ga.upf
Li 6.94 Li.upf
ATOMIC_POSITIONS crystal
N 0.000 0.000 0.000
Ni 0.500 0.000 0.000
Ni 0.000 0.500 0.000
Ga 0.500 0.500 0.500
Li 0.000 0.000 0.500
CELL_PARAMETERS angstrom
3.774 0.000 0.000
0.000 3.774 0.000
0.000 0.000 3.826



# 5
! LaIrW2 | the Alexandria database | PBE | relaxed; values from VASP
! Energy relative to the lowest polymorph listed for this composition = 0.76 eV per formula unit
! Symmetry = Cm, No. 8
! Formation enthalpy at 0 K = 0.405 eV/atom
! Crystal system = monoclinic
&SYSTEM
  ibrav = 0, nat = 4, ntyp = 3
/
ATOMIC_SPECIES
W 183.84 W.upf
Ir 192.22 Ir.upf
La 138.91 La.upf
ATOMIC_POSITIONS crystal
W 0.749 0.749 0.753
W 0.029 0.029 0.910
Ir 0.479 0.479 0.578
La 0.243 0.243 0.259
CELL_PARAMETERS angstrom
5.020 0.005 0.018
4.052 2.964 0.018
1.624 0.532 5.650



# 6
! InGaNi4 | the Alexandria database | PBE | relaxed; values from VASP
! Symmetry = C2/m, No. 12
! Formation enthalpy at 0 K = -0.133 eV/atom
! Crystal system = monoclinic
&SYSTEM
  ibrav = 0, nat = 6, ntyp = 3
/
ATOMIC_SPECIES
Ni 58.69 Ni.upf
Ga 69.72 Ga.upf
In 114.82 In.upf
ATOMIC_POSITIONS crystal
Ni 0.184 0.483 0.148
Ni 0.816 0.517 0.852
Ni 0.643 0.025 0.689
Ni 0.357 0.975 0.311
Ga 0.000 0.000 0.000
In 0.500 0.500 0.500
CELL_PARAMETERS angstrom
-2.707 -0.664 1.963
-0.445 -4.467 0.835
1.196 2.506 5.459



# 7
! LaTe2HF | the Alexandria database | PBE | relaxed; values from VASP
! Symmetry = P4/mmm, No. 123
! Crystal system = tetragonal
&SYSTEM
  ibrav = 0, nat = 5, ntyp = 4
/
ATOMIC_SPECIES
H 1.01 H.upf
La 138.91 La.upf
Te 127.60 Te.upf
F 19.00 F.upf
ATOMIC_POSITIONS crystal
H 0.000 0.000 0.000
La 0.500 0.500 0.500
Te 0.500 0.000 0.000
Te 0.000 0.000 0.500
F 0.000 0.500 0.000
CELL_PARAMETERS angstrom
-4.374 -0.299 1.067
0.155 -5.028 -0.772
1.099 -0.631 4.331



# 8
! YTi2Ir | the Alexandria database | PBE | relaxed; values from VASP
! Energy relative to the lowest polymorph listed for this composition = 0.19 eV per formula unit
! Symmetry = I-42d, No. 122
! Formation enthalpy at 0 K = -0.162 eV/atom
! Crystal system = tetragonal
&SYSTEM
  ibrav = 0, nat = 8, ntyp = 3
/
ATOMIC_SPECIES
Y 88.91 Y.upf
Ir 192.22 Ir.upf
Ti 47.87 Ti.upf
ATOMIC_POSITIONS crystal
Y 0.500 0.500 0.000
Y 0.250 0.750 0.500
Ir 0.750 0.250 0.500
Ir 0.000 0.000 0.000
Ti 0.875 0.940 0.750
Ti 0.375 0.310 0.750
Ti 0.060 0.625 0.250
Ti 0.690 0.125 0.250
CELL_PARAMETERS angstrom
-4.666 4.363 4.196
-5.828 -1.806 -4.603
-5.867 -0.999 1.476



# 9
! Th8Sn2Hg | the Alexandria database | PBE | relaxed; values from VASP
! Symmetry = C2/m, No. 12
! Formation enthalpy at 0 K = -0.174 eV/atom
! Crystal system = monoclinic
&SYSTEM
  ibrav = 0, nat = 11, ntyp = 3
/
ATOMIC_SPECIES
Hg 200.59 Hg.upf
Th 232.04 Th.upf
Sn 118.71 Sn.upf
ATOMIC_POSITIONS crystal
Hg 0.500 0.000 0.000
Th 0.319 0.086 0.639
Th 0.858 0.793 0.715
Th 0.597 0.454 0.194
Th 0.142 0.207 0.285
Th 0.403 0.546 0.806
Th 0.953 0.265 0.906
Th 0.681 0.914 0.361
Th 0.047 0.735 0.094
Sn 0.777 0.345 0.554
Sn 0.223 0.655 0.446
CELL_PARAMETERS angstrom
-1.016 -1.889 -4.475
6.577 -4.569 0.435
-6.334 -3.523 5.676



# 10
! Ca2TbNd | the Alexandria database | PBE | relaxed; values from VASP
! Energy relative to the lowest polymorph listed for this composition = 0.00 eV per formula unit
! Symmetry = R3m, No. 160
! Formation enthalpy at 0 K = 0.044 eV/atom
! Crystal system = trigonal
&SYSTEM
  ibrav = 0, nat = 4, ntyp = 3
/
ATOMIC_SPECIES
Ca 40.08 Ca.upf
Nd 144.24 Nd.upf
Tb 158.93 Tb.upf
ATOMIC_POSITIONS crystal
Ca 0.416 0.416 0.752
Ca 0.838 0.838 0.486
Nd 0.258 0.258 0.227
Tb 0.999 0.999 0.002
CELL_PARAMETERS angstrom
3.701 0.000 0.504
1.816 3.225 0.504
0.180 0.105 12.523



# 11
! Ba3Li2Zn2 | the Alexandria database | PBE | relaxed; values from VASP
! Symmetry = Immm, No. 71
! Formation enthalpy at 0 K = -0.068 eV/atom
! Crystal system = orthorhombic
&SYSTEM
  ibrav = 0, nat = 7, ntyp = 3
/
ATOMIC_SPECIES
Ba 137.33 Ba.upf
Li 6.94 Li.upf
Zn 65.41 Zn.upf
ATOMIC_POSITIONS crystal
Ba 0.681 0.181 0.362
Ba 0.319 0.819 0.638
Ba 0.000 0.000 0.000
Li 0.873 0.373 0.746
Li 0.127 0.627 0.254
Zn 0.439 0.439 0.877
Zn 0.561 0.561 0.123
CELL_PARAMETERS angstrom
-3.224 2.971 -2.651
-3.115 -3.408 -0.032
-1.032 3.971 10.658



# 12
! Na2Sm2Ti3O10 | the Alexandria database | PBE | relaxed; values from VASP
! Symmetry = I4/mmm, No. 139
! Crystal system = tetragonal
! Energy relative to the elements, uncorrected = -50.1 eV per formula unit
&SYSTEM
  ibrav = 0, nat = 17, ntyp = 4
/
ATOMIC_SPECIES
O 16.00 O.upf
Ti 47.87 Ti.upf
Sm 150.36 Sm.upf
Na 22.99 Na.upf
ATOMIC_POSITIONS crystal
O 0.369 0.869 0.500
O 0.000 0.500 0.500
O 0.792 0.792 0.000
O 0.869 0.369 0.500
O 0.631 0.131 0.500
O 0.131 0.631 0.500
O 0.933 0.933 0.000
O 0.208 0.208 0.000
O 0.067 0.067 0.000
O 0.500 0.000 0.500
Ti 0.854 0.854 0.000
Ti 0.146 0.146 0.000
Ti 0.000 0.000 0.000
Sm 0.425 0.425 0.000
Sm 0.575 0.575 0.000
Na 0.288 0.288 0.000
Na 0.712 0.712 0.000
CELL_PARAMETERS angstrom
14.605 0.001 0.000
13.597 5.331 0.000
-14.101 -2.666 2.713



Computed E_tot, in the same sequence as the records: -24.9, -47.4, -51.4, -25.8, -38.1, -29.7, -21.3, -63.5, -69.6, -13.2, -12.6, -135.4 eV per cell.